#1
PBE-GGA Er2Sc2Tl, relaxed; ρ = 7.490 g/cm3; space group = P4/mbm, No. 127; magnetization = 0.00 μB per atom
1.0
4.234 0.000 0.000
0.000 8.116 0.000
0.000 0.000 8.115
Er Sc Tl
4 4 2
Cartesian
0.000 2.850 6.907
0.000 6.907 5.266
0.000 5.266 1.208
0.000 1.208 2.849
2.117 1.189 5.247
2.117 5.247 6.926
2.117 6.927 2.868
2.117 2.869 1.189
0.000 0.000 0.000
0.000 4.058 4.057

#2
PBE-GGA Er2Sc2Tl, relaxed; ρ = 7.605 g/cm3; space group = C2/m, No. 12; magnetization = 0.00 μB per atom
1.0
-5.813 4.230 -2.894
-6.067 -1.338 -0.145
-3.649 5.262 5.092
Er Sc Tl
4 4 2
Cartesian
-8.529 5.945 1.720
-7.000 2.208 0.334
-6.461 2.914 3.513
-9.068 5.240 -1.459
-5.816 5.300 -0.065
-3.937 3.181 -1.122
-5.525 6.310 3.320
-3.646 4.192 2.263
-5.070 -0.248 -0.556
-6.811 3.140 -2.483

Stability verdict: #2, ahead by 0.140 eV/atom

#1
PBE-GGA Er3Sc2Tl4, relaxed; ρ = 9.667 g/cm3; space group = C2/m, No. 12; magnetization = 0.00 μB per atom
1.0
4.646 0.000 -1.299
-0.509 6.246 -1.822
-0.157 -0.040 8.398
Er Sc Tl
3 2 4
Cartesian
0.182 3.721 0.650
3.798 2.485 4.628
0.000 0.000 0.000
3.038 0.340 1.909
0.942 5.865 3.368
1.741 4.440 6.229
0.900 1.942 3.219
2.239 1.765 -0.952
3.080 4.263 2.059

#2
PBE-GGA Er3Sc2Tl4, relaxed; ρ = 9.304 g/cm3; space group = Cmce, No. 64; magnetization = 0.00 μB per atom
1.0
-1.365 -2.356 -6.390
-3.590 -8.312 3.831
-6.020 4.217 3.507
Er Sc Tl
6 4 8
Cartesian
0.000 0.000 0.000
-2.478 -5.334 -1.280
-6.846 -5.094 1.453
-4.812 -2.535 -3.701
-4.129 -1.357 -0.505
-6.164 -3.916 4.648
-3.275 -3.815 2.106
-7.700 -2.636 -1.159
-5.461 2.146 0.375
-5.515 -8.597 0.572
-3.805 -7.960 -1.915
-7.853 0.331 -0.332
-7.170 1.510 2.863
-3.123 -6.782 1.280
-6.234 -6.937 3.889
-4.741 0.486 -2.942
-5.727 -2.198 2.034
-5.249 -4.253 -1.086

Stability verdict: #1, ahead by 0.117 eV/atom

#1
PBE-GGA ErSc2Tl2, relaxed; ρ = 8.800 g/cm3; space group = R-3m, No. 166; magnetization = 0.00 μB per atom
1.0
5.013 0.001 0.001
2.505 4.342 0.001
2.505 1.447 5.774
Er Sc Tl
1 2 2
Cartesian
1.253 2.171 0.001
3.758 3.619 2.203
6.265 2.172 3.573
3.760 0.725 1.343
6.264 5.066 4.433

#2
PBE-GGA ErSc2Tl2, relaxed; ρ = 8.833 g/cm3; space group = P2_1/m, No. 11; magnetization = 0.00 μB per atom
1.0
3.624 0.000 -0.486
0.000 5.164 0.000
-0.052 0.000 13.384
Er Sc Tl
2 4 4
Cartesian
3.048 3.873 8.976
0.524 1.291 3.923
0.179 3.873 1.346
3.393 1.291 11.553
0.850 3.873 6.349
2.722 1.291 6.550
2.338 3.873 3.690
1.234 1.291 9.209
1.598 3.873 11.938
1.974 1.291 0.961

Stability verdict: #1, ahead by 0.015 eV/atom

#1
PBE-GGA Er3Sc3Tl2, relaxed; ρ = 8.505 g/cm3; space group = Pmmm, No. 47; magnetization = 0.35 μB per atom
1.0
4.678 0.000 0.000
0.000 4.683 0.000
0.000 0.000 9.316
Er Sc Tl
3 3 2
Cartesian
2.339 0.000 4.658
0.000 2.342 0.000
0.000 2.342 4.658
2.339 2.342 7.039
2.339 2.342 2.277
2.339 0.000 0.000
0.000 0.000 7.026
0.000 0.000 2.290

#2
PBE-GGA Er3Sc3Tl2, relaxed; ρ = 7.938 g/cm3; space group = Cmcm, No. 63; magnetization = 0.01 μB per atom
1.0
4.798 0.000 0.000
-2.399 5.719 0.000
0.000 0.000 15.940
Er Sc Tl
6 6 4
Cartesian
2.399 5.062 6.314
0.000 0.656 14.284
2.399 5.062 1.656
0.000 0.656 9.625
2.399 2.256 3.985
0.000 3.463 11.955
2.399 1.482 7.307
0.000 4.237 15.277
2.399 1.482 0.662
0.000 4.237 8.632
0.000 4.716 3.985
2.399 1.003 11.955
2.399 3.083 14.046
0.000 2.635 6.077
2.399 3.083 9.863
0.000 2.635 1.893

Stability verdict: #1, ahead by 0.068 eV/atom

#1
PBE-GGA YErScTl, relaxed; ρ = 7.740 g/cm3; space group = F-43m, No. 216; magnetization = 0.37 μB per atom
1.0
-1.644 5.093 0.075
-5.076 1.192 -1.211
-3.342 1.678 3.830
Y Sc Tl Er
1 1 1 1
Cartesian
-7.546 5.972 2.021
0.000 0.000 0.000
-5.031 3.982 1.347
-2.515 1.991 0.674

#2
PBE-GGA YErScTl, relaxed; ρ = 7.862 g/cm3; space group = Pmmm, No. 47; magnetization = 0.33 μB per atom
1.0
4.698 0.000 0.000
0.000 4.769 0.000
0.000 0.000 4.765
Y Er Sc Tl
1 1 1 1
Cartesian
0.000 0.000 0.000
0.000 2.384 2.383
2.349 2.384 0.000
2.349 0.000 2.383

Stability verdict: #2, ahead by 0.118 eV/atom

#1
PBE-GGA Er2TmSc5, relaxed; ρ = 5.683 g/cm3; space group = I4mm, No. 107; magnetization = 0.00 μB per atom
1.0
-5.851 -3.179 -0.585
5.676 -3.289 -1.285
2.235 1.692 6.069
Er Tm Sc
2 1 5
Cartesian
0.390 -1.187 4.071
2.110 -3.678 0.394
6.157 -1.243 3.723
3.228 -2.830 3.427
5.035 -2.087 0.688
3.316 0.401 4.361
-0.729 -2.035 1.037
2.194 -0.443 1.327

#2
PBE-GGA Er2TmSc5, relaxed; ρ = 5.653 g/cm3; space group = Fmm2, No. 42; magnetization = 0.01 μB per atom
1.0
6.525 -0.489 -1.935
-3.740 5.366 -1.941
0.098 0.179 6.305
Er Tm Sc
2 1 5
Cartesian
-1.448 4.386 1.142
3.659 1.414 1.071
2.675 3.739 3.290
0.381 1.698 2.075
-0.650 3.772 -2.040
4.492 0.864 -2.052
1.773 4.137 0.138
1.272 1.307 5.228

Stability verdict: #2, ahead by 0.040 eV/atom